KSnC3 | SCAN | PBEsol geometry

a b c (Å): 4.410 4.410 4.410
angles (deg): 90.00 90.00 90.00
Sites, in units of the cell vectors:
1 K 0.000 0.000 0.000
2 Sn 0.500 0.500 0.500
3 C 0.000 0.000 0.500
4 C 0.000 0.500 0.000
5 C 0.500 0.000 0.000

* calculated formation energy: 4079 meV/atom
* energy: -54.2 eV/cell
* V: 17.2 Å³ per atom
* space group: Pm-3m, No. 221